No. 1
Here is a geometry-optimized K4Ce3PuSe8 structure from Alexandria via LeMat-Bulk. Energies are from PBE.

Values from the calculation:
Uncorrected formation energy   -26.23 eV/f.u.
Raw total energy   -90.63 eV per formula unit
Total moment   24.002 Bohr magnetons per cell
Crystal system   trigonal

Cell lengths 8.7102, 8.7102, 22.9746 Å; angles 90.00, 90.00, 120.00 degrees
Space group R-3m (No. 166, hexagonal axes)
Asymmetric unit:
K1 0.0000 0.0000 0.0000 [3 per cell]
K2 0.0000 0.5000 0.0000 [9 per cell]
Ce1 0.0000 0.5000 0.5000 [9 per cell]
Pu1 0.0000 0.0000 0.5000 [3 per cell]
Se1 0.0000 0.0000 0.2367 [6 per cell]
Se2 0.0001 0.5001 0.2358 [18 per cell]

No. 2
Here is a geometry-optimized K3CePu3Se8 structure from Alexandria via LeMat-Bulk. Energies are from PBE.

Values from the calculation:
Uncorrected formation energy   -22.62 eV/f.u.
Raw total energy   -102.72 eV per formula unit
Total moment   45.007 Bohr magnetons per cell
Crystal system   trigonal

Cell lengths 8.5194, 8.5194, 23.1860 Å; angles 90.00, 90.00, 120.00 degrees
Space group R-3m (No. 166, hexagonal axes)
Asymmetric unit:
K1 0.0000 0.5000 0.0000 [9 per cell]
Ce1 0.0000 0.0000 0.5000 [3 per cell]
Pu1 0.0000 0.5000 0.5000 [9 per cell]
Se1 0.0000 0.0000 0.2339 [6 per cell]
Se2 0.0013 0.5007 0.7666 [18 per cell]

No. 3
Here is a geometry-optimized K3CePu2Se6 structure from Alexandria via LeMat-Bulk. Energies are from PBE.

Values from the calculation:
Uncorrected formation energy   -18.57 eV/f.u.
Raw total energy   -77.36 eV per formula unit
Total moment   22.000 Bohr magnetons per cell
Crystal system   monoclinic

Cell lengths 7.475, 12.947, 8.046 Å; angles 90.00, 108.04, 90.00 degrees
Space group C2/m (No. 12)
Asymmetric unit:
K1 0.000 0.000 0.000 [2 per cell]
K2 0.000 0.333 0.000 [4 per cell]
Ce1 0.000 0.500 0.500 [2 per cell]
Pu1 0.000 0.167 0.500 [4 per cell]
Se1 0.234 0.000 0.706 [4 per cell]
Se2 0.236 0.333 0.706 [8 per cell]

No. 4
Here is a geometry-optimized K3Ce2PuSe6 structure from Alexandria via LeMat-Bulk. Energies are from PBE.

Values from the calculation:
Uncorrected formation energy   -19.46 eV/f.u.
Raw total energy   -69.86 eV per formula unit
Total moment   14.001 Bohr magnetons per cell
Crystal system   monoclinic

Cell lengths 7.529, 13.042, 8.058 Å; angles 90.00, 108.15, 90.00 degrees
Space group C2/m (No. 12)
Asymmetric unit:
K1 0.000 0.000 0.000 [2 per cell]
K2 0.000 0.333 0.000 [4 per cell]
Ce1 0.000 0.167 0.500 [4 per cell]
Pu1 0.000 0.500 0.500 [2 per cell]
Se1 0.236 0.000 0.708 [4 per cell]
Se2 0.236 0.334 0.708 [8 per cell]

No. 5
Here is a geometry-optimized KCe3Pu2Te6 structure from Alexandria via LeMat-Bulk. Energies are from PBE.

Values from the calculation:
Uncorrected formation energy   -14.77 eV/f.u.
Raw total energy   -81.18 eV per formula unit
Total moment   31.512 Bohr magnetons per cell
Crystal system   monoclinic

Cell lengths 19.835, 4.504, 9.172 Å; angles 90.00, 103.41, 90.00 degrees
Space group C2/m (No. 12)
Asymmetric unit:
K1 0.000 0.000 0.000 [2 per cell]
Ce1 0.000 0.000 0.500 [2 per cell]
Ce2 0.164 0.500 0.833 [4 per cell]
Pu1 0.169 0.500 0.338 [4 per cell]
Te1 0.003 0.500 0.263 [4 per cell]
Te2 0.167 0.000 0.581 [4 per cell]
Te3 0.171 0.000 0.091 [4 per cell]

No. 6
Here is a geometry-optimized K4Ce3PuTe8 structure from Alexandria via LeMat-Bulk. Energies are from PBE.

Values from the calculation:
Uncorrected formation energy   -18.74 eV/f.u.
Raw total energy   -80.39 eV per formula unit
Total moment   7.939 Bohr magnetons per cell
Crystal system   tetragonal

Cell lengths 7.905, 7.905, 8.503 Å; angles 90.00, 90.00, 90.00 degrees
Space group P4/mmm (No. 123)
Asymmetric unit:
K1 0.000 0.000 0.000 [1 per cell]
K2 0.000 0.500 0.000 [2 per cell]
K3 0.500 0.500 0.000 [1 per cell]
Ce1 0.000 0.000 0.500 [1 per cell]
Ce2 0.000 0.500 0.500 [2 per cell]
Pu1 0.500 0.500 0.500 [1 per cell]
Te1 0.251 0.251 0.287 [8 per cell]

No. 7
Here is a geometry-optimized KCe2Pu3Te6 structure from Alexandria via LeMat-Bulk. Energies are from PBE.

Values from the calculation:
Uncorrected formation energy   -13.96 eV/f.u.
Raw total energy   -88.78 eV per formula unit
Total moment   16.851 Bohr magnetons per cell
Crystal system   monoclinic

Cell lengths 19.766, 4.484, 9.168 Å; angles 90.00, 103.10, 90.00 degrees
Space group C2/m (No. 12)
Asymmetric unit:
K1 0.000 0.000 0.000 [2 per cell]
Ce1 0.168 0.500 0.336 [4 per cell]
Pu1 0.000 0.000 0.500 [2 per cell]
Pu2 0.165 0.500 0.833 [4 per cell]
Te1 0.001 0.500 0.266 [4 per cell]
Te2 0.166 0.000 0.587 [4 per cell]
Te3 0.172 0.000 0.084 [4 per cell]

No. 8
Here is a geometry-optimized K2RbCe structure from Alexandria via LeMat-Bulk. Energies are from PBE.

Values from the calculation:
Raw total energy   -7.13 eV per formula unit
Total moment   6.120 Bohr magnetons per cell
Crystal system   trigonal
Formation energy   47.52 kJ/mol of atoms

Cell lengths 4.0382, 4.0382, 48.9223 Å; angles 90.00, 90.00, 120.00 degrees
Space group R-3m (No. 166, hexagonal axes)
Asymmetric unit:
K1 0.0000 0.0000 0.0791 [6 per cell]
Rb1 0.0000 0.0000 0.5000 [3 per cell]
Ce1 0.0000 0.0000 0.0000 [3 per cell]